## w
Computed, not measured: crystalline SiIr3Os at its relaxed geometry at the PBE level of DFT.

Cell: 4.7391 4.7391 4.7391 Å, 90.00 90.00 90.00°
Atoms (fractional coordinates):
Ir (0.0000, 0.5000, 0.0000)
Ir (0.5000, 0.0000, 0.0000)
Ir (0.0000, 0.0000, 0.5000)
Si (0.5000, 0.5000, 0.5000)
Os (0.0000, 0.0000, 0.0000)

Summary:
- Volume: 21.287 Å³ per atom
- Symmetry: Pm-3m, No. 221
- Calculated density: 12403 kg/m³
- Magnetic moment: 0.0 Bohr magnetons per cell

---

## x
Computed, not measured: crystalline SiIr3Os at its relaxed geometry at the PBE level of DFT.

Cell: 4.3576 4.3576 4.3576 Å, 90.00 90.00 90.00°
Atoms (fractional coordinates):
Si (0.0000, 0.0000, 0.0000)
Ir (0.0000, 0.0000, 0.5000)
Ir (0.0000, 0.5000, 0.0000)
Ir (0.5000, 0.0000, 0.0000)
Os (0.5000, 0.5000, 0.5000)

Summary:
- Volume: 16.549 Å³ per atom
- Symmetry: Pm-3m, No. 221
- Calculated density: 15953 kg/m³
- Magnetic moment: 0.0 Bohr magnetons per cell

---

x takes first place; second place is 63.6 kJ/mol of atoms up.

---

## w
Computed, not measured: crystalline SrSi2IrOs at its relaxed geometry at the PBE level of DFT.

Cell: 4.2060 4.2060 5.9444 Å, 110.72 110.72 90.00°
Atoms (fractional coordinates):
Sr (0.0000, 0.0000, 0.0000)
Si (0.3637, 0.3637, 0.7273)
Si (0.6363, 0.6363, 0.2727)
Os (0.2500, 0.7500, 0.5000)
Ir (0.7500, 0.2500, 0.5000)

Summary:
- Volume: 18.210 Å³ per atom
- Symmetry: I-4m2, No. 119
- Calculated density: 9597 kg/m³
- Magnetic moment: 0.0 Bohr magnetons per cell

---

## x
Computed, not measured: crystalline SrSi2IrOs at its relaxed geometry at the PBE level of DFT.

Cell: 4.6362 5.0430 4.6362 Å, 90.00 90.00 90.00°
Atoms (fractional coordinates):
Si (0.0000, 0.0000, 0.5000)
Si (0.5000, 0.0000, 0.0000)
Sr (0.5000, 0.5000, 0.5000)
Ir (0.0000, 0.0000, 0.0000)
Os (0.0000, 0.5000, 0.0000)

Summary:
- Volume: 21.679 Å³ per atom
- Symmetry: P4/mmm, No. 123
- Calculated density: 8061 kg/m³
- Magnetic moment: 0.0 Bohr magnetons per cell

---

w takes first place; second place is 118.6 kJ/mol of atoms up.

---

## w
Computed, not measured: crystalline Sm4IrOs at its relaxed geometry at the PBE level of DFT.

Cell: 6.3883 7.6914 8.0287 Å, 114.25 108.40 99.88°
Atoms (fractional coordinates):
Sm (0.0065, 0.2401, 0.8713)
Sm (0.6422, 0.0457, 0.3508)
Sm (0.3578, 0.9543, 0.6492)
Sm (0.6352, 0.3688, 0.1287)
Sm (0.2086, 0.3051, 0.3508)
Sm (0.3648, 0.6312, 0.8713)
Sm (0.9935, 0.7599, 0.1287)
Sm (0.7914, 0.6949, 0.6492)
Os (0.2515, 0.0015, 0.0031)
Os (0.7485, 0.9985, 0.9969)
Ir (0.3857, 0.6357, 0.2714)
Ir (0.6143, 0.3643, 0.7286)

Summary:
- Volume: 26.661 Å³ per atom
- Symmetry: C2/c, No. 15
- Calculated density: 10213 kg/m³
- Magnetic moment: 0.0 Bohr magnetons per cell

---

## x
Computed, not measured: crystalline Sm4IrOs at its relaxed geometry at the PBE level of DFT.

Cell: 7.8605 7.8605 7.8605 Å, 107.22 107.22 114.07°
Atoms (fractional coordinates):
Os (0.2494, 0.2494, 0.0000)
Os (0.9994, 0.4994, 0.5000)
Sm (0.6966, 0.4977, 0.1989)
Sm (0.2477, 0.9466, 0.6989)
Sm (0.2988, 0.4977, 0.8011)
Sm (0.7525, 0.4488, 0.6963)
Sm (0.2477, 0.5488, 0.3011)
Sm (0.8063, 0.0025, 0.8037)
Sm (0.1988, 0.0025, 0.1963)
Sm (0.7525, 0.0563, 0.3037)
Ir (0.7502, 0.7502, 0.0000)
Ir (0.5002, 0.0002, 0.5000)

Summary:
- Volume: 31.004 Å³ per atom
- Symmetry: I4_1md, No. 109
- Calculated density: 8783 kg/m³
- Magnetic moment: 0.0 Bohr magnetons per cell

---

w takes first place; second place is 10.4 kJ/mol of atoms up.